Entry 1:
A plane-wave DFT calculation with PBE was carried out for a relaxed structure of NaSI2N.

The uncorrected formation energy is 1.478 eV/atom. The value obtained for the energy above the lowest structure with this stoichiometry is 6.016 eV per formula unit.

```
data_NaSI2N
_space_group_name_H-M_alt 'P 4/m m m'
_space_group_IT_number 123
_space_group_name_Hall '-P 4 2'
_cell_length_a 5.887
_cell_length_b 5.887
_cell_length_c 4.463
_cell_angle_alpha 90.00
_cell_angle_beta 90.00
_cell_angle_gamma 90.00
loop_
_atom_site_label
_atom_site_type_symbol
_atom_site_fract_x
_atom_site_fract_y
_atom_site_fract_z
_atom_site_occupancy
Na1 Na 0.000 0.000 0.000 1
S1 S 0.500 0.500 0.500 1
I1 I 0.000 0.500 0.000 1
N1 N 0.000 0.000 0.500 1
```

=====

Entry 2:
A plane-wave DFT calculation with PBE was carried out for a relaxed structure of NaSIN2.

The uncorrected formation energy is 1.359 eV/atom. The value obtained for the energy above the lowest structure with this stoichiometry is 0.744 eV per formula unit.

```
data_NaSIN2
_space_group_name_H-M_alt 'P 4/m m m'
_space_group_IT_number 123
_space_group_name_Hall '-P 4 2'
_cell_length_a 4.084
_cell_length_b 4.084
_cell_length_c 5.310
_cell_angle_alpha 90.00
_cell_angle_beta 90.00
_cell_angle_gamma 90.00
loop_
_atom_site_label
_atom_site_type_symbol
_atom_site_fract_x
_atom_site_fract_y
_atom_site_fract_z
_atom_site_occupancy
Na1 Na 0.000 0.000 0.000 1
S1 S 0.500 0.500 0.000 1
I1 I 0.500 0.500 0.500 1
N1 N 0.000 0.500 0.500 1
```

=====

Entry 3:
A plane-wave DFT calculation with PBE was carried out for a relaxed structure of NaSbI2N.

The uncorrected formation energy is 0.076 eV/atom. The value obtained for the energy above the lowest structure with this stoichiometry is 0.000 eV per formula unit.

```
data_NaSbI2N
_space_group_name_H-M_alt 'P 4/m m m'
_space_group_IT_number 123
_space_group_name_Hall '-P 4 2'
_cell_length_a 6.306
_cell_length_b 6.306
_cell_length_c 4.025
_cell_angle_alpha 90.00
_cell_angle_beta 90.00
_cell_angle_gamma 90.00
loop_
_atom_site_label
_atom_site_type_symbol
_atom_site_fract_x
_atom_site_fract_y
_atom_site_fract_z
_atom_site_occupancy
Na1 Na 0.000 0.000 0.000 1
Sb1 Sb 0.500 0.500 0.500 1
I1 I 0.000 0.500 0.500 1
N1 N 0.500 0.500 0.000 1
```

=====

Entry 4:
A plane-wave DFT calculation with PBE was carried out for a relaxed structure of NaSbI2N.

The uncorrected formation energy is 0.393 eV/atom. The value obtained for the energy above the lowest structure with this stoichiometry is 1.584 eV per formula unit.

```
data_NaSbI2N
_space_group_name_H-M_alt 'P 4/m m m'
_space_group_IT_number 123
_space_group_name_Hall '-P 4 2'
_cell_length_a 6.283
_cell_length_b 6.283
_cell_length_c 4.082
_cell_angle_alpha 90.00
_cell_angle_beta 90.00
_cell_angle_gamma 90.00
loop_
_atom_site_label
_atom_site_type_symbol
_atom_site_fract_x
_atom_site_fract_y
_atom_site_fract_z
_atom_site_occupancy
Na1 Na 0.000 0.000 0.000 1
Sb1 Sb 0.500 0.500 0.000 1
I1 I 0.000 0.500 0.500 1
N1 N 0.500 0.500 0.500 1
```

=====

Entry 5:
A plane-wave DFT calculation with PBE was carried out for a relaxed structure of NaSbI2N.

The uncorrected formation energy is 0.855 eV/atom. The value obtained for the energy above the lowest structure with this stoichiometry is 3.892 eV per formula unit.

```
data_NaSbI2N
_space_group_name_H-M_alt 'P 4/m m m'
_space_group_IT_number 123
_space_group_name_Hall '-P 4 2'
_cell_length_a 5.890
_cell_length_b 5.890
_cell_length_c 4.420
_cell_angle_alpha 90.00
_cell_angle_beta 90.00
_cell_angle_gamma 90.00
loop_
_atom_site_label
_atom_site_type_symbol
_atom_site_fract_x
_atom_site_fract_y
_atom_site_fract_z
_atom_site_occupancy
Na1 Na 0.000 0.000 0.000 1
Sb1 Sb 0.500 0.500 0.500 1
I1 I 0.000 0.500 0.000 1
N1 N 0.000 0.000 0.500 1
```

=====

Entry 6:
A plane-wave DFT calculation with PBE was carried out for a relaxed structure of NaSbI2N.

The uncorrected formation energy is 1.203 eV/atom. The value obtained for the energy above the lowest structure with this stoichiometry is 5.636 eV per formula unit.

```
data_NaSbI2N
_space_group_name_H-M_alt 'P 4/m m m'
_space_group_IT_number 123
_space_group_name_Hall '-P 4 2'
_cell_length_a 5.914
_cell_length_b 5.914
_cell_length_c 6.152
_cell_angle_alpha 90.00
_cell_angle_beta 90.00
_cell_angle_gamma 90.00
loop_
_atom_site_label
_atom_site_type_symbol
_atom_site_fract_x
_atom_site_fract_y
_atom_site_fract_z
_atom_site_occupancy
Na1 Na 0.000 0.000 0.000 1
Sb1 Sb 0.000 0.000 0.500 1
I1 I 0.000 0.500 0.000 1
N1 N 0.500 0.500 0.500 1
```

=====

Entry 7:
A plane-wave DFT calculation with PBE was carried out for a relaxed structure of NaScI2N.

The uncorrected formation energy is -0.624 eV/atom. The value obtained for the energy above the lowest structure with this stoichiometry is 0.000 eV per formula unit.

```
data_NaScI2N
_space_group_name_H-M_alt 'P 4/m m m'
_space_group_IT_number 123
_space_group_name_Hall '-P 4 2'
_cell_length_a 6.010
_cell_length_b 6.010
_cell_length_c 4.044
_cell_angle_alpha 90.00
_cell_angle_beta 90.00
_cell_angle_gamma 90.00
loop_
_atom_site_label
_atom_site_type_symbol
_atom_site_fract_x
_atom_site_fract_y
_atom_site_fract_z
_atom_site_occupancy
Na1 Na 0.000 0.000 0.000 1
Sc1 Sc 0.500 0.500 0.500 1
I1 I 0.000 0.500 0.500 1
N1 N 0.500 0.500 0.000 1
```

=====

Entry 8:
A plane-wave DFT calculation with PBE was carried out for a relaxed structure of NaScI2N.

The uncorrected formation energy is 0.534 eV/atom. The value obtained for the energy above the lowest structure with this stoichiometry is 5.790 eV per formula unit.

```
data_NaScI2N
_space_group_name_H-M_alt 'P 4/m m m'
_space_group_IT_number 123
_space_group_name_Hall '-P 4 2'
_cell_length_a 5.791
_cell_length_b 5.791
_cell_length_c 4.349
_cell_angle_alpha 90.00
_cell_angle_beta 90.00
_cell_angle_gamma 90.00
loop_
_atom_site_label
_atom_site_type_symbol
_atom_site_fract_x
_atom_site_fract_y
_atom_site_fract_z
_atom_site_occupancy
Na1 Na 0.000 0.000 0.000 1
Sc1 Sc 0.500 0.500 0.500 1
I1 I 0.000 0.500 0.000 1
N1 N 0.000 0.000 0.500 1
```

=====

Entry 9:
A plane-wave DFT calculation with PBE was carried out for a relaxed structure of NaSe2IN.

The uncorrected formation energy is 1.252 eV/atom. The value obtained for the energy above the lowest structure with this stoichiometry is 2.343 eV per formula unit.

```
data_NaSe2IN
_space_group_name_H-M_alt 'P 4/m m m'
_space_group_IT_number 123
_space_group_name_Hall '-P 4 2'
_cell_length_a 5.405
_cell_length_b 5.405
_cell_length_c 4.424
_cell_angle_alpha 90.00
_cell_angle_beta 90.00
_cell_angle_gamma 90.00
loop_
_atom_site_label
_atom_site_type_symbol
_atom_site_fract_x
_atom_site_fract_y
_atom_site_fract_z
_atom_site_occupancy
Na1 Na 0.000 0.000 0.000 1
Se1 Se 0.000 0.500 0.000 1
I1 I 0.500 0.500 0.500 1
N1 N 0.000 0.000 0.500 1
```

=====

Entry 10:
A plane-wave DFT calculation with PBE was carried out for a relaxed structure of NaSe2IN.

The uncorrected formation energy is 0.783 eV/atom. The value obtained for the energy above the lowest structure with this stoichiometry is 0.000 eV per formula unit.

```
data_NaSe2IN
_space_group_name_H-M_alt 'P 4/m m m'
_space_group_IT_number 123
_space_group_name_Hall '-P 4 2'
_cell_length_a 5.630
_cell_length_b 5.630
_cell_length_c 4.022
_cell_angle_alpha 90.00
_cell_angle_beta 90.00
_cell_angle_gamma 90.00
loop_
_atom_site_label
_atom_site_type_symbol
_atom_site_fract_x
_atom_site_fract_y
_atom_site_fract_z
_atom_site_occupancy
Na1 Na 0.000 0.000 0.000 1
Se1 Se 0.000 0.500 0.500 1
I1 I 0.500 0.500 0.500 1
N1 N 0.500 0.500 0.000 1
```

=====

Entry 11:
A plane-wave DFT calculation with PBE was carried out for a relaxed structure of NaSnIN2.

The uncorrected formation energy is 1.595 eV/atom. The value obtained for the energy above the lowest structure with this stoichiometry is 4.225 eV per formula unit.

```
data_NaSnIN2
_space_group_name_H-M_alt 'P 4/m m m'
_space_group_IT_number 123
_space_group_name_Hall '-P 4 2'
_cell_length_a 4.691
_cell_length_b 4.691
_cell_length_c 5.788
_cell_angle_alpha 90.00
_cell_angle_beta 90.00
_cell_angle_gamma 90.00
loop_
_atom_site_label
_atom_site_type_symbol
_atom_site_fract_x
_atom_site_fract_y
_atom_site_fract_z
_atom_site_occupancy
Na1 Na 0.000 0.000 0.000 1
Sn1 Sn 0.500 0.500 0.500 1
I1 I 0.000 0.000 0.500 1
N1 N 0.000 0.500 0.000 1
```

=====

Entry 12:
A plane-wave DFT calculation with PBE was carried out for a relaxed structure of NaSnIN2.

The uncorrected formation energy is 0.750 eV/atom. The value obtained for the energy above the lowest structure with this stoichiometry is 0.000 eV per formula unit.

```
data_NaSnIN2
_space_group_name_H-M_alt 'P 4/m m m'
_space_group_IT_number 123
_space_group_name_Hall '-P 4 2'
_cell_length_a 4.214
_cell_length_b 4.214
_cell_length_c 6.594
_cell_angle_alpha 90.00
_cell_angle_beta 90.00
_cell_angle_gamma 90.00
loop_
_atom_site_label
_atom_site_type_symbol
_atom_site_fract_x
_atom_site_fract_y
_atom_site_fract_z
_atom_site_occupancy
Na1 Na 0.000 0.000 0.000 1
Sn1 Sn 0.500 0.500 0.500 1
I1 I 0.500 0.500 0.000 1
N1 N 0.000 0.500 0.500 1
```

=====

Entry 13:
A plane-wave DFT calculation with PBE was carried out for a relaxed structure of NaSrIN2.

The uncorrected formation energy is 0.882 eV/atom. The value obtained for the energy above the lowest structure with this stoichiometry is 1.167 eV per formula unit.

```
data_NaSrIN2
_space_group_name_H-M_alt 'P 4/m m m'
_space_group_IT_number 123
_space_group_name_Hall '-P 4 2'
_cell_length_a 4.764
_cell_length_b 4.764
_cell_length_c 5.529
_cell_angle_alpha 90.00
_cell_angle_beta 90.00
_cell_angle_gamma 90.00
loop_
_atom_site_label
_atom_site_type_symbol
_atom_site_fract_x
_atom_site_fract_y
_atom_site_fract_z
_atom_site_occupancy
Na1 Na 0.000 0.000 0.000 1
Sr1 Sr 0.500 0.500 0.500 1
I1 I 0.000 0.000 0.500 1
N1 N 0.000 0.500 0.000 1
```

=====

Entry 14:
A plane-wave DFT calculation with PBE was carried out for a relaxed structure of NaSrIN2.

The uncorrected formation energy is 0.648 eV/atom. The value obtained for the energy above the lowest structure with this stoichiometry is 0.000 eV per formula unit.

```
data_NaSrIN2
_space_group_name_H-M_alt 'P 4/m m m'
_space_group_IT_number 123
_space_group_name_Hall '-P 4 2'
_cell_length_a 4.997
_cell_length_b 4.997
_cell_length_c 6.710
_cell_angle_alpha 90.00
_cell_angle_beta 90.00
_cell_angle_gamma 90.00
loop_
_atom_site_label
_atom_site_type_symbol
_atom_site_fract_x
_atom_site_fract_y
_atom_site_fract_z
_atom_site_occupancy
Na1 Na 0.000 0.000 0.000 1
Sr1 Sr 0.500 0.500 0.500 1
I1 I 0.500 0.500 0.000 1
N1 N 0.000 0.500 0.500 1
```